The following is a DFT calculation (PBE with a Hubbard U) of a relaxed HfTcSnWF crystal.

Results
- Offset from the most stable computed form: 337 meV/atom
- V: 187 Å³ per cell
- Total DFT energy (no corrections): -6.973 eV per atom
- DOS(E_F): 2.9 states/eV per cell

Lattice parameters (Å, degrees): 7.2229 3.1924 10.7093 90.00 130.66 90.00
With the nearest neighbours (Å) after each atom.
Fractional coordinates of all 10 atoms:
F1 0.8187 0.0000 0.1496  1 Hf 2.09, 1 W 2.23
F2 0.8187 0.5000 0.6496  1 Hf 2.09, 1 W 2.23
Hf1 0.4904 0.0000 0.1052  1 F 2.09
Hf2 0.4904 0.5000 0.6052  1 F 2.09
Sn1 0.0451 0.0000 0.4961  1 F 2.92, 2 Tc 2.99, 2 Hf 3.06, 2 W 3.07, 2 Sn 3.19
Sn2 0.0451 0.5000 0.9961  1 F 2.92, 2 Tc 2.99, 2 Hf 3.06, 2 W 3.07, 2 Sn 3.19
W1 0.5936 0.0000 0.8773  1 F 2.23, 2 Tc 2.44
W2 0.5936 0.5000 0.3773  1 F 2.23, 2 Tc 2.44
Tc1 0.2791 0.0000 0.3022  2 W 2.44, 1 F 2.58
Tc2 0.2791 0.5000 0.8022  2 W 2.44, 1 F 2.58